{
  "formula": "Pm7PrY2",
  "functional": "GGA-PBE",
  "state": "optimized geometry",
  "lattice": [[3.518, 0.000, 0.000], [0.000, 10.099, -2.802], [0.000, -0.707, 10.456]],
  "species": ["Pr", "Pm", "Pm", "Pm", "Pm", "Pm", "Pm", "Pm", "Y", "Y"],
  "frac_coords": [[0.000, 0.000, 0.000], [0.500, 0.874, 0.611], [0.500, 0.500, 0.500], [0.500, 0.611, 0.874], [0.000, 0.674, 0.326], [0.500, 0.389, 0.126], [0.500, 0.126, 0.389], [0.000, 0.326, 0.674], [0.500, 0.170, 0.830], [0.500, 0.830, 0.170]],
  "polymorph_energy_ev_per_atom": 0.000,
  "delta_e_f_ev_per_atom": 0.393,
  "total_energy_ev_per_fu": -47.0
}